Computed, not measured: a geometry-optimized Er2LuCd structure at the GGA-PBE level of DFT.

Cell and atoms, written as CIF:
```
data_Er2LuCd
_chemical_formula_sum 'Er6 Lu3 Cd3'
_space_group_name_H-M_alt 'P 1'
_space_group_IT_number 1
_cell_length_a 3.419
_cell_length_b 3.419
_cell_length_c 35.744
_cell_angle_alpha 90.00
_cell_angle_beta 90.00
_cell_angle_gamma 120.00
loop_
_space_group_symop_operation_xyz
'x,y,z'
loop_
_atom_site_label
_atom_site_type_symbol
_atom_site_fract_x
_atom_site_fract_y
_atom_site_fract_z
Er1 Er 0.000 0.000 0.089
Er2 Er 0.000 0.000 0.911
Er3 Er 0.333 0.667 0.577
Er4 Er 0.333 0.667 0.756
Er5 Er 0.667 0.333 0.244
Er6 Er 0.667 0.333 0.423
Lu1 Lu 0.000 0.000 0.500
Lu2 Lu 0.333 0.667 0.167
Lu3 Lu 0.667 0.333 0.833
Cd1 Cd 0.000 0.000 0.000
Cd2 Cd 0.333 0.667 0.667
Cd3 Cd 0.667 0.333 0.333
```

Properties
Its symmetry is R-3m. The formation energy is 0.16 eV per atom. The value obtained for the energy relative to the lowest polymorph listed for this composition is 0.295 eV/atom.

***

Computed, not measured: a geometry-optimized ScBi3Rh structure at the GGA-PBE level of DFT.

Cell and atoms, written as CIF:
```
data_ScBi3Rh
_chemical_formula_sum 'Sc1 Bi3 Rh1'
_space_group_name_H-M_alt 'P 1'
_space_group_IT_number 1
_cell_length_a 5.472
_cell_length_b 5.472
_cell_length_c 5.472
_cell_angle_alpha 90.00
_cell_angle_beta 90.00
_cell_angle_gamma 90.00
loop_
_space_group_symop_operation_xyz
'x,y,z'
loop_
_atom_site_label
_atom_site_type_symbol
_atom_site_fract_x
_atom_site_fract_y
_atom_site_fract_z
Sc1 Sc 0.000 0.000 0.000
Bi1 Bi 0.000 0.000 0.500
Bi2 Bi 0.000 0.500 0.000
Bi3 Bi 0.500 0.000 0.000
Rh1 Rh 0.500 0.500 0.500
```

Properties
Its symmetry is Pm-3m. The formation energy is 0.76 eV per atom. The value obtained for the energy relative to the lowest polymorph listed for this composition is 0.507 eV/atom.

***

Computed, not measured: a geometry-optimized Sr2AgRh structure at the GGA-PBE level of DFT.

Cell and atoms, written as CIF:
```
data_Sr2AgRh
_chemical_formula_sum 'Sr8 Ag4 Rh4'
_space_group_name_H-M_alt 'P 1'
_space_group_IT_number 1
_cell_length_a 8.239
_cell_length_b 8.239
_cell_length_c 6.647
_cell_angle_alpha 90.00
_cell_angle_beta 90.00
_cell_angle_gamma 90.00
loop_
_space_group_symop_operation_xyz
'x,y,z'
loop_
_atom_site_label
_atom_site_type_symbol
_atom_site_fract_x
_atom_site_fract_y
_atom_site_fract_z
Sr1 Sr 0.216 0.250 0.125
Sr2 Sr 0.250 0.716 0.375
Sr3 Sr 0.250 0.784 0.875
Sr4 Sr 0.284 0.250 0.625
Sr5 Sr 0.716 0.750 0.625
Sr6 Sr 0.750 0.216 0.875
Sr7 Sr 0.750 0.284 0.375
Sr8 Sr 0.784 0.750 0.125
Ag1 Ag 0.000 0.000 0.500
Ag2 Ag 0.000 0.500 0.750
Ag3 Ag 0.500 0.000 0.250
Ag4 Ag 0.500 0.500 0.000
Rh1 Rh 0.000 0.000 0.000
Rh2 Rh 0.000 0.500 0.250
Rh3 Rh 0.500 0.000 0.750
Rh4 Rh 0.500 0.500 0.500
```

Properties
Its symmetry is I-42d. The formation energy is 0.04 eV per atom.

***

Computed, not measured: a geometry-optimized YSi2As structure at the GGA-PBE level of DFT.

Cell and atoms, written as CIF:
```
data_YSi2As
_chemical_formula_sum 'Y1 Si2 As1'
_space_group_name_H-M_alt 'P 1'
_space_group_IT_number 1
_cell_length_a 4.095
_cell_length_b 4.095
_cell_length_c 4.538
_cell_angle_alpha 90.00
_cell_angle_beta 90.00
_cell_angle_gamma 90.00
loop_
_space_group_symop_operation_xyz
'x,y,z'
loop_
_atom_site_label
_atom_site_type_symbol
_atom_site_fract_x
_atom_site_fract_y
_atom_site_fract_z
Y1 Y 0.000 0.000 0.000
Si1 Si 0.000 0.500 0.500
Si2 Si 0.500 0.000 0.500
As1 As 0.500 0.500 0.000
```

Properties
Its symmetry is P4/mmm. As for the formation energy (no corrections): -0.25 eV per atom.

***

Computed, not measured: a geometry-optimized CrPd2S structure at the GGA-PBE level of DFT.

Cell and atoms, written as CIF:
```
data_CrPd2S
_chemical_formula_sum 'Cr4 Pd8 S4'
_space_group_name_H-M_alt 'P 1'
_space_group_IT_number 1
_cell_length_a 3.758
_cell_length_b 3.758
_cell_length_c 17.973
_cell_angle_alpha 90.00
_cell_angle_beta 90.00
_cell_angle_gamma 90.00
loop_
_space_group_symop_operation_xyz
'x,y,z'
loop_
_atom_site_label
_atom_site_type_symbol
_atom_site_fract_x
_atom_site_fract_y
_atom_site_fract_z
Cr1 Cr 0.000 0.000 0.000
Cr2 Cr 0.000 0.500 0.250
Cr3 Cr 0.500 0.000 0.750
Cr4 Cr 0.500 0.500 0.500
Pd1 Pd 0.246 0.250 0.625
Pd2 Pd 0.250 0.746 0.875
Pd3 Pd 0.250 0.754 0.375
Pd4 Pd 0.254 0.250 0.125
Pd5 Pd 0.746 0.750 0.125
Pd6 Pd 0.750 0.246 0.375
Pd7 Pd 0.750 0.254 0.875
Pd8 Pd 0.754 0.750 0.625
S1 S 0.000 0.000 0.500
S2 S 0.000 0.500 0.750
S3 S 0.500 0.000 0.250
S4 S 0.500 0.500 0.000
```

Properties
Its symmetry is I-42d. As for the formation energy (no corrections): 0.05 eV per atom.

***

Computed, not measured: a geometry-optimized Li3Ag4Au structure at the GGA-PBE level of DFT.

Cell and atoms, written as CIF:
```
data_Li3Ag4Au
_chemical_formula_sum 'Li3 Ag4 Au1'
_space_group_name_H-M_alt 'P 1'
_space_group_IT_number 1
_cell_length_a 3.198
_cell_length_b 4.583
_cell_length_c 9.159
_cell_angle_alpha 96.00
_cell_angle_beta 99.90
_cell_angle_gamma 90.28
loop_
_space_group_symop_operation_xyz
'x,y,z'
loop_
_atom_site_label
_atom_site_type_symbol
_atom_site_fract_x
_atom_site_fract_y
_atom_site_fract_z
Li1 Li 0.000 0.000 0.000
Li2 Li 0.122 0.591 0.244
Li3 Li 0.878 0.409 0.756
Ag1 Ag 0.251 0.252 0.503
Ag2 Ag 0.381 0.907 0.761
Ag3 Ag 0.619 0.093 0.239
Ag4 Ag 0.749 0.748 0.497
Au1 Au 0.500 0.500 0.000
```

Properties
Its symmetry is P-1. The formation energy is -0.24 eV per atom. The value obtained for the energy relative to the lowest polymorph listed for this composition is 0.000 eV/atom.

***

Computed, not measured: a geometry-optimized SrTaHg2 structure at the GGA-PBE level of DFT.

Cell and atoms, written as CIF:
```
data_SrTaHg2
_chemical_formula_sum 'Sr1 Ta1 Hg2'
_space_group_name_H-M_alt 'P 1'
_space_group_IT_number 1
_cell_length_a 3.233
_cell_length_b 3.233
_cell_length_c 8.919
_cell_angle_alpha 90.00
_cell_angle_beta 90.00
_cell_angle_gamma 90.00
loop_
_space_group_symop_operation_xyz
'x,y,z'
loop_
_atom_site_label
_atom_site_type_symbol
_atom_site_fract_x
_atom_site_fract_y
_atom_site_fract_z
Sr1 Sr 0.000 0.000 0.000
Ta1 Ta 0.000 0.000 0.500
Hg1 Hg 0.500 0.500 0.278
Hg2 Hg 0.500 0.500 0.722
```

Properties
Its symmetry is P4/mmm. The formation energy is 0.23 eV per atom.

***

Computed, not measured: a geometry-optimized LaPrGaIr structure at the GGA-PBE level of DFT.

Cell and atoms, written as CIF:
```
data_LaPrGaIr
_chemical_formula_sum 'La4 Pr4 Ga4 Ir4'
_space_group_name_H-M_alt 'P 1'
_space_group_IT_number 1
_cell_length_a 7.340
_cell_length_b 7.340
_cell_length_c 7.340
_cell_angle_alpha 90.00
_cell_angle_beta 90.00
_cell_angle_gamma 90.00
loop_
_space_group_symop_operation_xyz
'x,y,z'
loop_
_atom_site_label
_atom_site_type_symbol
_atom_site_fract_x
_atom_site_fract_y
_atom_site_fract_z
La1 La 0.000 0.000 0.000
La2 La 0.000 0.500 0.500
La3 La 0.500 0.000 0.500
La4 La 0.500 0.500 0.000
Pr1 Pr 0.000 0.000 0.500
Pr2 Pr 0.000 0.500 0.000
Pr3 Pr 0.500 0.000 0.000
Pr4 Pr 0.500 0.500 0.500
Ga1 Ga 0.250 0.250 0.250
Ga2 Ga 0.250 0.750 0.750
Ga3 Ga 0.750 0.250 0.750
Ga4 Ga 0.750 0.750 0.250
Ir1 Ir 0.250 0.250 0.750
Ir2 Ir 0.250 0.750 0.250
Ir3 Ir 0.750 0.250 0.250
Ir4 Ir 0.750 0.750 0.750
```

Properties
Its symmetry is F-43m. The formation energy is -0.49 eV per atom. The value obtained for the energy relative to the lowest polymorph listed for this composition is 0.161 eV/atom.

***

Computed, not measured: a geometry-optimized HOs2Se structure at the GGA-PBE level of DFT.

Cell and atoms, written as CIF:
```
data_HOs2Se
_chemical_formula_sum 'H4 Os8 Se4'
_space_group_name_H-M_alt 'P 1'
_space_group_IT_number 1
_cell_length_a 4.886
_cell_length_b 4.886
_cell_length_c 8.981
_cell_angle_alpha 90.00
_cell_angle_beta 90.00
_cell_angle_gamma 90.00
loop_
_space_group_symop_operation_xyz
'x,y,z'
loop_
_atom_site_label
_atom_site_type_symbol
_atom_site_fract_x
_atom_site_fract_y
_atom_site_fract_z
H1 H 0.000 0.000 0.000
H2 H 0.000 0.500 0.250
H3 H 0.500 0.000 0.750
H4 H 0.500 0.500 0.500
Os1 Os 0.130 0.250 0.125
Os2 Os 0.250 0.630 0.375
Os3 Os 0.250 0.870 0.875
Os4 Os 0.370 0.250 0.625
Os5 Os 0.630 0.750 0.625
Os6 Os 0.750 0.130 0.875
Os7 Os 0.750 0.370 0.375
Os8 Os 0.870 0.750 0.125
Se1 Se 0.000 0.000 0.500
Se2 Se 0.000 0.500 0.750
Se3 Se 0.500 0.000 0.250
Se4 Se 0.500 0.500 0.000
```

Properties
Its symmetry is I-42d. The value obtained for the energy relative to the lowest polymorph listed for this composition is 0.000 eV/atom.

***

Computed, not measured: a geometry-optimized Ti3FeBr structure at the GGA-PBE level of DFT.

Cell and atoms, written as CIF:
```
data_Ti3FeBr
_chemical_formula_sum 'Ti3 Fe1 Br1'
_space_group_name_H-M_alt 'P 1'
_space_group_IT_number 1
_cell_length_a 4.572
_cell_length_b 4.572
_cell_length_c 4.572
_cell_angle_alpha 90.00
_cell_angle_beta 90.00
_cell_angle_gamma 90.00
loop_
_space_group_symop_operation_xyz
'x,y,z'
loop_
_atom_site_label
_atom_site_type_symbol
_atom_site_fract_x
_atom_site_fract_y
_atom_site_fract_z
Ti1 Ti 0.000 0.000 0.500
Ti2 Ti 0.000 0.500 0.000
Ti3 Ti 0.500 0.000 0.000
Fe1 Fe 0.000 0.000 0.000
Br1 Br 0.500 0.500 0.500
```

Properties
Its symmetry is Pm-3m. The value obtained for the energy relative to the lowest polymorph listed for this composition is 0.000 eV/atom. As for the formation energy (no corrections): 0.31 eV per atom.

***

Computed, not measured: a geometry-optimized TiOs2Cl2 structure at the GGA-PBE level of DFT.

Cell and atoms, written as CIF:
```
data_TiOs2Cl2
_chemical_formula_sum 'Ti2 Os4 Cl4'
_space_group_name_H-M_alt 'P 1'
_space_group_IT_number 1
_cell_length_a 3.865
_cell_length_b 3.865
_cell_length_c 11.712
_cell_angle_alpha 90.00
_cell_angle_beta 90.00
_cell_angle_gamma 90.00
loop_
_space_group_symop_operation_xyz
'x,y,z'
loop_
_atom_site_label
_atom_site_type_symbol
_atom_site_fract_x
_atom_site_fract_y
_atom_site_fract_z
Ti1 Ti 0.000 0.000 0.000
Ti2 Ti 0.500 0.500 0.500
Os1 Os 0.000 0.000 0.402
Os2 Os 0.000 0.000 0.598
Os3 Os 0.500 0.500 0.098
Os4 Os 0.500 0.500 0.902
Cl1 Cl 0.000 0.500 0.250
Cl2 Cl 0.000 0.500 0.750
Cl3 Cl 0.500 0.000 0.250
Cl4 Cl 0.500 0.000 0.750
```

Properties
Its symmetry is I4/mmm. The value obtained for the energy relative to the lowest polymorph listed for this composition is 0.130 eV/atom. As for the formation energy (no corrections): 0.68 eV per atom.

***

Computed, not measured: a geometry-optimized Be2SiAs structure at the GGA-PBE level of DFT.

Cell and atoms, written as CIF:
```
data_Be2SiAs
_chemical_formula_sum 'Be2 Si1 As1'
_space_group_name_H-M_alt 'P 1'
_space_group_IT_number 1
_cell_length_a 2.727
_cell_length_b 2.727
_cell_length_c 6.888
_cell_angle_alpha 90.00
_cell_angle_beta 90.00
_cell_angle_gamma 90.00
loop_
_space_group_symop_operation_xyz
'x,y,z'
loop_
_atom_site_label
_atom_site_type_symbol
_atom_site_fract_x
_atom_site_fract_y
_atom_site_fract_z
Be1 Be 0.000 0.000 0.224
Be2 Be 0.000 0.000 0.776
Si1 Si 0.500 0.500 0.000
As1 As 0.500 0.500 0.500
```

Properties
Its symmetry is P4/mmm. The value obtained for the energy relative to the lowest polymorph listed for this composition is 0.318 eV/atom. As for the formation energy (no corrections): 0.49 eV per atom.

***

For reference, calculated volume by record: 361.80; 163.82; 451.21; 76.10; 253.77; 131.50; 93.24; 395.43; 214.44; 95.54; 174.95; 51.22 Å³/cell.